# ZrScW2O | the Alexandria database | PBE with a Hubbard U | optimized geometry
# Space group ... P4/mmm (123)
# Volume ... 85.8 Å³/cell
# E_tot ... -35.1 eV for the cell shown
data_ZrScW2O
_cell_length_a 4.4724
_cell_length_b 4.4724
_cell_length_c 4.2872
_cell_angle_alpha 90.00
_cell_angle_beta 90.00
_cell_angle_gamma 90.00
_symmetry_space_group_name_H-M 'P 1'
_symmetry_Int_Tables_number 1
_symmetry_space_group_name_Hall 'P 1'
loop_
_atom_site_label
_atom_site_type_symbol
_atom_site_fract_x
_atom_site_fract_y
_atom_site_fract_z
_atom_site_occupancy
Zr1 Zr 0.0000 0.0000 0.0000 1
Sc1 Sc 0.5000 0.5000 0.0000 1
W1 W 0.0000 0.5000 0.5000 1
W2 W 0.5000 0.0000 0.5000 1
O1 O 0.5000 0.5000 0.5000 1